Compound: Cr2AgNO
Source: Alexandria
Functional: GGA+U
Structure: optimized geometry

The calculation puts the density of states at the Fermi level at 3.09 states/eV/cell. For the total energy, the calculation gives -4.882 eV/atom.

Cell and atoms, written as extended XYZ:
```
5
Lattice="5.1475 0.0000 0.0000 0.0000 5.1475 0.0000 0.0000 0.0000 3.7623" Properties=species:S:1:pos:R:3 pbc="T T T"
Cr 0.0000 2.5738 0.0000
Cr 2.5738 0.0000 0.0000
Ag 0.0000 0.0000 0.0000
N 0.0000 0.0000 1.8812
O 2.5738 2.5738 1.8812
```